1.
Entry from Alexandria: a relaxed structure of Ce2InGaCo (PBE-GGA).

Cell: 4.582 6.942 7.715 Å, 108.66 90.00 90.00°
Site moments in Bohr magnetons follow the coordinates.
Element x y z (fractional)
In 0.250 0.661 0.350  -0.01
In 0.750 0.339 0.650  -0.01
Ce 0.750 0.729 0.050  0.36
Ce 0.250 0.143 0.343  0.69
Ce 0.750 0.857 0.657  0.69
Ce 0.250 0.271 0.950  0.36
Co 0.250 0.938 0.941  -0.17
Co 0.750 0.062 0.059  -0.17
Ga 0.750 0.411 0.281  0.00
Ga 0.250 0.589 0.719  0.00

Results
- Fermi-level density of states (states/eV per cell) = 19.237
- uncorrected energy (eV/atom) = -5.317
- energy of formation (eV/atom) = -0.3689

---

2.
Entry from Alexandria: a relaxed structure of CaYHo2Se4 (PBE-GGA).

Cell: 4.077 7.091 7.100 Å, 70.84 90.00 90.00°
Element x y z (fractional)
Ho 0.500 0.000 0.500
Ho 0.000 0.000 0.000
Se 0.000 0.247 0.251
Se 0.500 0.246 0.752
Se 0.500 0.754 0.248
Se 0.000 0.753 0.749
Ca 0.000 0.500 0.500
Y 0.500 0.500 0.000

Results
- formation energy without anion corrections (eV per atom) = -1.7991
- Fermi-level density of states (states/eV per cell) = 2.917
- uncorrected energy (eV/atom) = -5.744

---

3.
Entry from Alexandria: a relaxed structure of CuS2F2 (PBE-GGA).

Cell: 3.820 4.830 8.050 Å, 80.64 81.03 37.84°
Site moments in Bohr magnetons follow the coordinates.
Element x y z (fractional)
F 0.710 0.523 0.869  0.11
F 0.290 0.477 0.131  0.11
S 0.803 0.985 0.578  0.00
S 0.197 0.015 0.422  0.00
Cu 0.000 0.000 0.000  0.58

Results
- formation energy without anion corrections (eV per atom) = -0.7814
- Fermi-level density of states (states/eV per cell) = 2.280
- uncorrected energy (eV/atom) = -4.000

---

4.
Entry from Alexandria: a relaxed structure of SmBeSi2Ru2 (PBE-GGA).

Cell: 4.218 4.218 5.299 Å, 90.00 90.00 90.00°
Element x y z (fractional)
Sm 0.000 0.000 0.500
Be 0.000 0.000 0.000
Ru 0.500 0.000 0.000
Ru 0.000 0.500 0.000
Si 0.500 0.500 0.263
Si 0.500 0.500 0.737

Results
- formation energy without anion corrections (eV per atom) = -0.6010
- Fermi-level density of states (states/eV per cell) = 2.391
- uncorrected energy (eV/atom) = -6.908

---

5.
Entry from Alexandria: a relaxed structure of Pm3GeO7 (PBE-GGA).

Cell: 6.582 6.582 7.554 Å, 90.00 90.00 109.21°
Site moments in Bohr magnetons follow the coordinates.
Element x y z (fractional)
O 0.366 0.634 0.750  0.10
O 0.630 0.370 0.750  0.03
O 0.058 0.299 0.968  0.23
O 0.061 0.939 0.750  0.15
O 0.927 0.688 0.024  0.09
O 0.688 0.927 0.976  0.09
O 0.073 0.312 0.524  0.09
O 0.299 0.058 0.032  0.23
O 0.312 0.073 0.476  0.09
O 0.370 0.630 0.250  0.03
O 0.939 0.061 0.250  0.15
O 0.942 0.701 0.468  0.23
O 0.701 0.942 0.532  0.23
O 0.634 0.366 0.250  0.10
Ge 0.995 0.995 0.000  -0.01
Ge 0.005 0.005 0.500  -0.01
Pm 0.472 0.472 0.500  -0.01
Pm 0.002 0.463 0.245  0.00
Pm 0.463 0.002 0.755  0.00
Pm 0.537 0.998 0.255  0.00
Pm 0.528 0.528 0.000  -0.01
Pm 0.998 0.537 0.745  0.00

Results
- formation energy without anion corrections (eV per atom) = -2.7401
- Fermi-level density of states (states/eV per cell) = 12.743
- uncorrected energy (eV/atom) = -7.611

---

6.
Entry from Alexandria: a relaxed structure of HfGeSb2I (PBE-GGA).

Cell: 5.281 5.281 5.379 Å, 90.00 90.00 90.00°
Element x y z (fractional)
Ge 0.000 0.000 0.000
Sb 0.000 0.500 0.000
Sb 0.500 0.000 0.000
I 0.000 0.000 0.500
Hf 0.500 0.500 0.500

Results
- energy above the lowest structure with this stoichiometry (meV per atom) = 368
- formation energy without anion corrections (eV per atom) = 0.8163
- Fermi-level density of states (states/eV per cell) = 3.055
- uncorrected energy (eV/atom) = -4.057

---

7.
Entry from Alexandria: a relaxed structure of AcPm2Nd3 (PBE-GGA).

Cell: 3.565 6.293 10.605 Å, 107.26 99.68 90.00°
Element x y z (fractional)
Ac 0.000 0.000 0.000
Nd 0.809 0.809 0.618
Nd 0.191 0.191 0.382
Nd 0.000 0.500 0.000
Pm 0.361 0.361 0.721
Pm 0.639 0.639 0.279

Results
- energy above the lowest structure with this stoichiometry (meV per atom) = 310
- Fermi-level density of states (states/eV per cell) = 11.090
- uncorrected energy (eV/atom) = -4.316
- energy of formation (eV/atom) = 0.3366

---

8.
Entry from Alexandria: a relaxed structure of TcPPd2Pt (PBE-GGA).

Cell: 4.484 4.500 4.484 Å, 90.00 90.00 90.00°
Site moments in Bohr magnetons follow the coordinates.
Element x y z (fractional)
Pd 0.000 0.000 0.500  0.07
Pd 0.500 0.000 0.000  0.11
Tc 0.500 0.500 0.500  3.54
P 0.000 0.000 0.000  0.01
Pt 0.000 0.500 0.000  0.11

Results
- Fermi-level density of states (states/eV per cell) = 2.906
- uncorrected energy (eV/atom) = -6.048
- energy of formation (eV/atom) = 0.3922

---

9.
Entry from Alexandria: a relaxed structure of TaIn2Tc (PBE-GGA).

Cell: 3.042 3.042 9.543 Å, 90.00 90.00 112.42°
Element x y z (fractional)
Tc 0.500 0.500 0.728
Ta 0.000 0.000 0.533
In 0.000 0.000 0.973
In 0.500 0.500 0.267

Results
- energy above the lowest structure with this stoichiometry (meV per atom) = 146
- Fermi-level density of states (states/eV per cell) = 1.974
- uncorrected energy (eV/atom) = -6.700
- energy of formation (eV/atom) = 0.2238

---

10.
Entry from Alexandria: a relaxed structure of CdSiP2 (PBE-GGA).

Cell: 6.049 6.049 6.049 Å, 144.80 144.80 50.64°
Element x y z (fractional)
Cd 0.750 0.250 0.500
Si 0.500 0.500 0.000
P 0.000 0.000 0.000
P 0.250 0.750 0.500

Results
- energy above the lowest structure with this stoichiometry (meV per atom) = 788
- formation energy without anion corrections (eV per atom) = 0.5880
- Fermi-level density of states (states/eV per cell) = 1.789
- uncorrected energy (eV/atom) = -3.701

---

11.
Entry from Alexandria: a relaxed structure of Ce2DyAgC (PBE-GGA).

Cell: 4.925 4.925 4.935 Å, 90.00 90.00 90.00°
Site moments in Bohr magnetons follow the coordinates.
Element x y z (fractional)
Dy 0.000 0.000 0.500  0.07
C 0.000 0.000 0.000  -0.04
Ag 0.500 0.500 0.500  0.01
Ce 0.500 0.000 0.000  0.43
Ce 0.000 0.500 0.000  0.43

Results
- Fermi-level density of states (states/eV per cell) = 10.838
- uncorrected energy (eV/atom) = -5.803
- energy of formation (eV/atom) = -0.0943

---

12.
Entry from Alexandria: a relaxed structure of RbSrTl4 (PBE-GGA).

Cell: 6.640 6.640 6.640 Å, 60.00 60.00 60.00°
Element x y z (fractional)
Tl 0.625 0.625 0.124
Tl 0.124 0.625 0.625
Tl 0.625 0.625 0.625
Tl 0.625 0.124 0.625
Rb 0.250 0.250 0.250
Sr 0.000 0.000 0.000

Results
- energy above the lowest structure with this stoichiometry (meV per atom) = 38
- Fermi-level density of states (states/eV per cell) = 2.538
- uncorrected energy (eV/atom) = -2.194
- energy of formation (eV/atom) = -0.1751